{
  "formula": "ScCdGaAu",
  "functional": "PBE",
  "state": "optimized geometry",
  "dos_at_fermi_per_ev_cell": 2.539,
  "e_tot_ev_per_atom": -3.8385,
  "formation_energy_ev_per_atom": -0.4508,
  "cell": [[-3.4926, -3.2236, -0.3175], [0.9865, -4.4529, -1.3745], [-0.2382, -3.5710, 3.1435]],
  "species": ["Sc", "Au", "Ga", "Cd"],
  "fractional_positions": [[0.2500, 0.2500, 0.2500], [0.5000, 0.5000, 0.5000], [0.0000, 0.0000, 0.0000], [0.7500, 0.7500, 0.7500]]
}

=====

{
  "formula": "Pm2Dy7Th",
  "functional": "PBE",
  "state": "optimized geometry",
  "dos_at_fermi_per_ev_cell": 16.067,
  "e_tot_ev_per_atom": -4.7489,
  "formation_energy_ev_per_atom": 0.1647,
  "relative_energy_mev_per_atom": 0,
  "cell": [[-2.4470, -2.3023, -0.8736], [4.6623, -9.0130, 10.6943], [-8.2652, 10.8830, -5.5306]],
  "species": ["Pm", "Pm", "Dy", "Dy", "Dy", "Dy", "Dy", "Dy", "Dy", "Th"],
  "fractional_positions": [[0.5000, 0.7054, 0.2946], [0.5000, 0.2946, 0.7054], [0.0000, 0.8136, 0.1864], [0.0000, 0.1864, 0.8136], [0.5000, 0.1473, 0.3422], [0.5000, 0.8527, 0.6578], [0.5000, 0.3422, 0.1473], [0.5000, 0.6578, 0.8527], [0.5000, 0.5000, 0.5000], [0.0000, 0.0000, 0.0000]]
}

=====

{
  "formula": "Y2RhAu",
  "functional": "PBE",
  "state": "optimized geometry",
  "dos_at_fermi_per_ev_cell": 2.537,
  "e_tot_ev_per_atom": -6.5411,
  "formation_energy_ev_per_atom": -0.6519,
  "cell": [[-1.9750, -3.3954, -0.8102], [3.2914, -1.5013, -1.7316], [1.7323, -2.2612, 5.2531]],
  "species": ["Au", "Rh", "Y", "Y"],
  "fractional_positions": [[0.0000, 0.0000, 0.4332], [0.5000, 0.5000, 0.8377], [0.0000, 0.0000, 0.9167], [0.5000, 0.5000, 0.3124]]
}

=====

{
  "formula": "LiAc2GaO5",
  "functional": "PBE",
  "state": "optimized geometry",
  "dos_at_fermi_per_ev_cell": 0.000,
  "formation_energy_uncorrected_mev_per_atom": -2403,
  "e_tot_ev_per_atom": -6.6192,
  "cell": [[5.8922, 0.0000, 0.0000], [0.0000, 7.1265, 0.0000], [0.0000, 0.0000, 7.1265]],
  "species": ["Li", "Li", "Ac", "Ac", "Ac", "Ac", "Ga", "Ga", "O", "O", "O", "O", "O", "O", "O", "O", "O", "O"],
  "fractional_positions": [[0.0000, 0.5000, 0.5000], [0.0000, 0.0000, 0.0000], [0.5000, 0.6815, 0.1815], [0.5000, 0.1815, 0.3185], [0.5000, 0.8185, 0.6815], [0.5000, 0.3185, 0.8185], [0.0000, 0.0000, 0.5000], [0.0000, 0.5000, 0.0000], [0.5000, 0.5000, 0.5000], [0.5000, 0.0000, 0.0000], [0.2334, 0.1309, 0.6309], [0.2334, 0.8691, 0.3691], [0.2334, 0.3691, 0.1309], [0.2334, 0.6309, 0.8691], [0.7666, 0.1309, 0.6309], [0.7666, 0.6309, 0.8691], [0.7666, 0.8691, 0.3691], [0.7666, 0.3691, 0.1309]]
}

=====

{
  "formula": "Nd2Si3GePt4",
  "functional": "PBE",
  "state": "optimized geometry",
  "dos_at_fermi_per_ev_cell": 5.435,
  "formation_energy_uncorrected_mev_per_atom": -1064,
  "e_tot_ev_per_atom": -6.5222,
  "cell": [[4.3169, 0.0000, 0.0000], [0.0000, 4.3169, 0.0000], [0.0000, 0.0000, 9.8641]],
  "species": ["Nd", "Nd", "Si", "Si", "Si", "Ge", "Pt", "Pt", "Pt", "Pt"],
  "fractional_positions": [[0.5000, 0.0000, 0.2527], [0.0000, 0.5000, 0.7473], [0.0000, 0.0000, 0.5000], [0.5000, 0.0000, 0.8724], [0.0000, 0.5000, 0.1276], [0.5000, 0.5000, 0.5000], [0.5000, 0.5000, 0.0000], [0.0000, 0.0000, 0.0000], [0.5000, 0.0000, 0.6274], [0.0000, 0.5000, 0.3726]]
}

=====

{
  "formula": "B4C",
  "functional": "PBE",
  "state": "optimized geometry",
  "dos_at_fermi_per_ev_cell": 0.588,
  "e_tot_ev_per_atom": -6.8546,
  "formation_energy_ev_per_atom": 0.3321,
  "relative_energy_mev_per_atom": 434,
  "cell": [[4.1804, 0.0352, -1.3787], [3.3064, 2.5583, -1.3787], [1.1622, 0.4026, 6.1272]],
  "species": ["B", "B", "B", "B", "B", "B", "B", "B", "C", "C"],
  "fractional_positions": [[0.2060, 0.2060, 0.0310], [0.2397, 0.2397, 0.7251], [0.4475, 0.4475, 0.8843], [0.4005, 0.4005, 0.5960], [0.5995, 0.5995, 0.6540], [0.5525, 0.5525, 0.3657], [0.7603, 0.7603, 0.5249], [0.7940, 0.7940, 0.2190], [0.0166, 0.0166, 0.0098], [0.9834, 0.9834, 0.2402]]
}

=====

What did the fifth record say?
{
  "formula": "Nd2Si3GePt4",
  "functional": "PBE",
  "state": "optimized geometry",
  "dos_at_fermi_per_ev_cell": 5.435,
  "formation_energy_uncorrected_mev_per_atom": -1064,
  "e_tot_ev_per_atom": -6.5222,
  "cell": [[4.3169, 0.0000, 0.0000], [0.0000, 4.3169, 0.0000], [0.0000, 0.0000, 9.8641]],
  "species": ["Nd", "Nd", "Si", "Si", "Si", "Ge", "Pt", "Pt", "Pt", "Pt"],
  "fractional_positions": [[0.5000, 0.0000, 0.2527], [0.0000, 0.5000, 0.7473], [0.0000, 0.0000, 0.5000], [0.5000, 0.0000, 0.8724], [0.0000, 0.5000, 0.1276], [0.5000, 0.5000, 0.5000], [0.5000, 0.5000, 0.0000], [0.0000, 0.0000, 0.0000], [0.5000, 0.0000, 0.6274], [0.0000, 0.5000, 0.3726]]
}